(1)
## InGeO2 (GGA-PBE)

Data for a geometry-optimized InGeO2 structure.

a = 5.152 Å, b = 5.152 Å, c = 6.380 Å
α = 66.19°, β = 66.19°, γ = 90.00°
Atoms (fractional coordinates):
1 Ge 0.500 0.500 0.000
2 Ge 0.250 0.750 0.500
3 O 0.638 0.125 0.250
4 O 0.112 0.625 0.250
5 O 0.375 0.362 0.750
6 O 0.875 0.888 0.750
7 In 0.000 0.000 0.000
8 In 0.750 0.250 0.500

Computed properties:
Electronic total energy (eV per formula unit): -20.4



(2)
## SmMgInGa (GGA-PBE)

Data for a geometry-optimized SmMgInGa structure.

a = 5.122 Å, b = 5.122 Å, c = 5.122 Å
α = 60.00°, β = 60.00°, γ = 60.00°
Atoms (fractional coordinates):
1 Mg 0.000 0.000 0.000
2 Ga 0.250 0.250 0.250
3 Sm 0.500 0.500 0.500
4 In 0.750 0.750 0.750

Computed properties:
Formation energy (kcal/mol of atoms): -7.60



(3)
## Mg3Ag4Au (GGA-PBE)

Data for a geometry-optimized Mg3Ag4Au structure.

a = 2.964 Å, b = 4.828 Å, c = 11.709 Å
α = 78.60°, β = 97.27°, γ = 90.00°
Atoms (fractional coordinates):
1 Mg 0.000 0.500 0.000
2 Mg 0.102 0.893 0.205
3 Mg 0.898 0.107 0.795
4 Ag 0.840 0.662 0.680
5 Ag 0.160 0.338 0.320
6 Ag 0.228 0.771 0.457
7 Ag 0.772 0.229 0.543
8 Au 0.500 0.000 0.000

Computed properties:
Formation energy (kcal/mol of atoms): -1.69



(4)
## Sr2BePt (GGA-PBE)

Data for a geometry-optimized Sr2BePt structure.

a = 4.145 Å, b = 4.691 Å, c = 6.149 Å
α = 67.62°, β = 90.00°, γ = 90.00°
Atoms (fractional coordinates):
1 Sr 0.000 0.985 0.905
2 Sr 0.500 0.269 0.337
3 Pt 0.500 0.583 0.709
4 Be 0.000 0.664 0.549

Computed properties:
Formation energy (kcal/mol of atoms): -10.09



(5)
## Ti7N3 (GGA-PBE)

Data for a geometry-optimized Ti7N3 structure.

a = 5.206 Å, b = 7.338 Å, c = 7.338 Å
α = 120.00°, β = 90.00°, γ = 90.00°
Atoms (fractional coordinates):
1 Ti 0.130 0.667 0.333
2 Ti 0.630 0.333 0.667
3 Ti 0.965 0.878 0.757
4 Ti 0.965 0.878 0.122
5 Ti 0.965 0.243 0.122
6 Ti 0.465 0.122 0.243
7 Ti 0.465 0.122 0.878
8 Ti 0.465 0.757 0.878
9 Ti 0.129 0.456 0.912
10 Ti 0.129 0.456 0.544
11 Ti 0.129 0.088 0.544
12 Ti 0.629 0.544 0.088
13 Ti 0.629 0.544 0.456
14 Ti 0.629 0.912 0.456
15 N 0.831 0.192 0.383
16 N 0.831 0.192 0.808
17 N 0.831 0.617 0.808
18 N 0.331 0.808 0.617
19 N 0.331 0.808 0.192
20 N 0.331 0.383 0.192

Computed properties:
Electronic total energy (eV per formula unit): -88.0



(6)
## VW4 (GGA-PBE)

Data for a geometry-optimized VW4 structure.

a = 2.691 Å, b = 4.447 Å, c = 7.103 Å
α = 108.23°, β = 80.33°, γ = 90.03°
Atoms (fractional coordinates):
1 V 0.000 0.000 0.000
2 W 0.391 0.401 0.803
3 W 0.609 0.599 0.197
4 W 0.112 0.800 0.601
5 W 0.888 0.200 0.399

Computed properties:
Formation energy (kcal/mol of atoms): 3.55



(7)
## Tb8Cu2Pt (GGA-PBE)

Data for a geometry-optimized Tb8Cu2Pt structure.

a = 5.909 Å, b = 7.776 Å, c = 7.776 Å
α = 114.96°, β = 100.81°, γ = 100.81°
Atoms (fractional coordinates):
1 Tb 0.590 0.346 0.091
2 Tb 0.590 0.091 0.346
3 Tb 0.177 0.369 0.369
4 Tb 0.985 0.207 0.796
5 Tb 0.985 0.796 0.207
6 Tb 0.799 0.638 0.638
7 Tb 0.363 0.911 0.656
8 Tb 0.363 0.656 0.911
9 Cu 0.493 0.702 0.311
10 Cu 0.493 0.311 0.702
11 Pt 0.161 0.006 0.006

Computed properties:
Formation energy (kcal/mol of atoms): -4.26



(8)
## NaZrTe4 (GGA-PBE)

Data for a geometry-optimized NaZrTe4 structure.

a = 7.497 Å, b = 7.680 Å, c = 7.680 Å
α = 121.09°, β = 94.73°, γ = 94.73°
Atoms (fractional coordinates):
1 Na 0.250 0.372 0.628
2 Na 0.750 0.628 0.372
3 Zr 0.750 0.002 0.998
4 Zr 0.250 0.998 0.002
5 Te 0.052 0.357 0.202
6 Te 0.006 0.899 0.254
7 Te 0.448 0.798 0.643
8 Te 0.552 0.202 0.357
9 Te 0.948 0.643 0.798
10 Te 0.506 0.254 0.899
11 Te 0.494 0.746 0.101
12 Te 0.994 0.101 0.746

Computed properties:
Electronic total energy (eV per formula unit): -26.1